The following is a PBE-GGA calculation of crystalline TlGa6 at its relaxed geometry, from Alexandria.

Properties
VASP energy = -2.883 eV/atom
Energy of formation from the pure elements = 49.3 meV per atom

Cell and atoms, written as CIF:
```
data_TlGa6
_cell_length_a 4.001
_cell_length_b 4.001
_cell_length_c 9.677
_cell_angle_alpha 90.00
_cell_angle_beta 90.00
_cell_angle_gamma 90.00
_space_group_name_H-M_alt 'P 4/m m m'
_space_group_IT_number 123
_space_group_name_Hall '-P 4 2'
loop_
_atom_site_label
_atom_site_fract_x
_atom_site_fract_y
_atom_site_fract_z
Tl1 0.000 0.000 0.000
Ga1 0.000 0.000 0.500
Ga2 0.000 0.500 0.271
Ga3 0.500 0.500 0.500
```

The following is a PBE-GGA calculation of crystalline CaTlAuSe at its relaxed geometry, from Alexandria.

Properties
VASP energy = -3.632 eV/atom

Cell and atoms, written as CIF:
```
data_CaTlAuSe
_cell_length_a 4.108
_cell_length_b 4.109
_cell_length_c 6.917
_cell_angle_alpha 106.12
_cell_angle_beta 106.39
_cell_angle_gamma 90.01
_space_group_name_H-M_alt 'P 1'
_space_group_IT_number 1
loop_
_space_group_symop_operation_xyz
'x,y,z'
loop_
_atom_site_label
_atom_site_fract_x
_atom_site_fract_y
_atom_site_fract_z
Ca1 0.000 0.000 0.000
Tl1 0.303 0.306 0.585
Au1 0.771 0.775 0.519
Se1 0.532 0.532 0.066
```

The following is a PBE-GGA calculation of crystalline AlRu2N at its relaxed geometry, from Alexandria.

Properties
VASP energy = -7.604 eV/atom

Cell and atoms, written as CIF:
```
data_AlRu2N
_cell_length_a 6.405
_cell_length_b 6.405
_cell_length_c 5.160
_cell_angle_alpha 90.00
_cell_angle_beta 90.00
_cell_angle_gamma 90.00
_space_group_name_H-M_alt 'I -4 2 d'
_space_group_IT_number 122
_space_group_name_Hall 'I -4 2bw'
loop_
_atom_site_label
_atom_site_fract_x
_atom_site_fract_y
_atom_site_fract_z
Al1 0.000 0.000 0.000
Ru1 0.138 0.250 0.625
N1 0.000 0.000 0.500
```

The following is a PBE-GGA calculation of crystalline NaV2AgAs at its relaxed geometry, from Alexandria.

Properties
VASP energy = -4.825 eV/atom
Energy of formation from the pure elements = 586.1 meV per atom

Cell and atoms, written as CIF:
```
data_NaV2AgAs
_cell_length_a 4.789
_cell_length_b 4.789
_cell_length_c 5.259
_cell_angle_alpha 90.00
_cell_angle_beta 90.00
_cell_angle_gamma 90.00
_space_group_name_H-M_alt 'P 4/m m m'
_space_group_IT_number 123
_space_group_name_Hall '-P 4 2'
loop_
_atom_site_label
_atom_site_fract_x
_atom_site_fract_y
_atom_site_fract_z
Na1 0.000 0.000 0.000
V1 0.000 0.500 0.500
Ag1 0.500 0.500 0.000
As1 0.000 0.000 0.500
```

Which of these has the highest VASP energy? TlGa6